Computed, not measured: crystalline La4MgAl at its relaxed geometry at the PBE-GGA level of DFT. Values from VASP.

```
&SYSTEM
  ibrav = 0, nat = 6, ntyp = 3
/
ATOMIC_SPECIES
La 138.91 La.upf
Mg 24.30 Mg.upf
Al 26.98 Al.upf
ATOMIC_POSITIONS angstrom
La 3.4769 3.4769 3.4769
La 5.7482 5.7482 3.4769
La 5.7482 3.4769 5.7482
La 3.4769 5.7482 5.7482
Mg 0.0000 0.0000 0.0000
Al 6.9189 6.9189 6.9189
CELL_PARAMETERS angstrom
0.0000 4.6126 4.6126
4.6126 0.0000 4.6126
4.6126 4.6126 0.0000
```

Computed properties:
Excess energy over the best structure of this formula in the dataset   422.1 meV/atom
DOS(E_F)   8.7 states/eV/cell
Mass density   5.13 Mg/m³
Raw total energy   -3.89 eV/atom